(1)
Here is a geometry-optimized Y2Cd3W4C3 structure from OQMD. Energies are from PBE-GGA.

Geometry as CIF:
```
data_Y2Cd3W4C3
_chemical_formula_sum 'Y4 Cd6 W8 C6'
_cell_length_a 5.6923
_cell_length_b 5.6923
_cell_length_c 14.4210
_cell_angle_alpha 101.05
_cell_angle_beta 90.39
_cell_angle_gamma 119.83
_symmetry_space_group_name_H-M 'P 1'
_symmetry_Int_Tables_number 1
loop_
_symmetry_equiv_pos_as_xyz
'x,y,z'
loop_
_atom_site_label
_atom_site_type_symbol
_atom_site_fract_x
_atom_site_fract_y
_atom_site_fract_z
Y1 Y 0.5387 0.7301 0.1137
Y2 Y 0.4613 0.2699 0.8863
Y3 Y 0.3836 0.0750 0.6137
Y4 Y 0.6164 0.9250 0.3863
Cd1 Cd 0.9333 0.6833 0.7500
Cd2 Cd 0.9005 0.1658 0.7524
Cd3 Cd 0.4134 0.6481 0.7476
Cd4 Cd 0.0995 0.8342 0.2476
Cd5 Cd 0.0667 0.3167 0.2500
Cd6 Cd 0.5866 0.3519 0.2524
C1 C 0.6698 0.3404 0.5001
C2 C 0.5000 0.0000 0.0000
C3 C 0.8403 0.6698 0.0000
C4 C 0.1597 0.3302 0.0000
C5 C 0.3302 0.6596 0.4999
C6 C 0.0000 0.0000 0.5000
W1 W 0.7957 0.9412 0.9319
W2 W 0.2043 0.0588 0.0681
W3 W 0.8410 0.3770 0.0679
W4 W 0.9906 0.6361 0.4319
W5 W 0.6909 0.7268 0.5679
W6 W 0.1590 0.6230 0.9321
W7 W 0.3091 0.2732 0.4321
W8 W 0.0094 0.3639 0.5681
```

Computed properties:
Energy = -193.624 eV per cell
Crystal system = monoclinic
V = 395.0 Å³ per cell
Space-group type = C2/c, No. 15



(2)
Here is a geometry-optimized Li3Ge2Au4 structure from OQMD. Energies are from PBE-GGA.

Geometry as CIF:
```
data_Li3Ge2Au4
_chemical_formula_sum 'Li3 Ge2 Au4'
_cell_length_a 5.3915
_cell_length_b 5.3915
_cell_length_c 8.3509
_cell_angle_alpha 121.17
_cell_angle_beta 121.17
_cell_angle_gamma 49.87
_symmetry_space_group_name_H-M 'P 1'
_symmetry_Int_Tables_number 1
loop_
_symmetry_equiv_pos_as_xyz
'x,y,z'
loop_
_atom_site_label
_atom_site_type_symbol
_atom_site_fract_x
_atom_site_fract_y
_atom_site_fract_z
Au1 Au 0.2884 0.2884 0.9355
Au2 Au 0.7116 0.7116 0.0645
Au3 Au 0.9369 0.9369 0.6139
Au4 Au 0.0631 0.0631 0.3861
Li1 Li 0.6651 0.6651 0.6705
Li2 Li 0.0000 0.0000 0.0000
Li3 Li 0.3349 0.3349 0.3295
Ge1 Ge 0.3979 0.3979 0.7223
Ge2 Ge 0.6021 0.6021 0.2777
```

Computed properties:
Energy = -31.549 eV per cell
Crystal system = monoclinic
V = 152.4 Å³ per cell
Space-group type = C2/m, No. 12



(3)
Here is a geometry-optimized Er3Si4Au2 structure from OQMD. Energies are from PBE-GGA.

Geometry as CIF:
```
data_Er3Si4Au2
_chemical_formula_sum 'Er3 Si4 Au2'
_cell_length_a 5.7360
_cell_length_b 5.7360
_cell_length_c 8.1515
_cell_angle_alpha 102.18
_cell_angle_beta 102.18
_cell_angle_gamma 43.11
_symmetry_space_group_name_H-M 'P 1'
_symmetry_Int_Tables_number 1
loop_
_symmetry_equiv_pos_as_xyz
'x,y,z'
loop_
_atom_site_label
_atom_site_type_symbol
_atom_site_fract_x
_atom_site_fract_y
_atom_site_fract_z
Si1 Si 0.2754 0.2754 0.9476
Si2 Si 0.9449 0.9449 0.6080
Si3 Si 0.0551 0.0551 0.3920
Si4 Si 0.7246 0.7246 0.0524
Au1 Au 0.3856 0.3856 0.7189
Au2 Au 0.6144 0.6144 0.2811
Er1 Er 0.0000 0.0000 0.0000
Er2 Er 0.6626 0.6626 0.6732
Er3 Er 0.3374 0.3374 0.3268
```

Computed properties:
Energy = -48.828 eV per cell
Crystal system = monoclinic
V = 178.5 Å³ per cell
Space-group type = C2/m, No. 12



(4)
Here is a geometry-optimized Cu2Ag3 structure from OQMD. Energies are from PBE-GGA.

Geometry as CIF:
```
data_Cu2Ag3
_chemical_formula_sum 'Cu4 Ag6'
_cell_length_a 7.5665
_cell_length_b 7.5665
_cell_length_c 5.7179
_cell_angle_alpha 101.44
_cell_angle_beta 101.44
_cell_angle_gamma 29.14
_symmetry_space_group_name_H-M 'P 1'
_symmetry_Int_Tables_number 1
loop_
_symmetry_equiv_pos_as_xyz
'x,y,z'
loop_
_atom_site_label
_atom_site_type_symbol
_atom_site_fract_x
_atom_site_fract_y
_atom_site_fract_z
Ag1 Ag 0.2019 0.2019 0.0985
Ag2 Ag 0.4032 0.4032 0.1912
Ag3 Ag 0.8081 0.8081 0.4141
Ag4 Ag 0.5903 0.5903 0.7953
Ag5 Ag 0.2047 0.2047 0.6136
Ag6 Ag 0.5940 0.5940 0.2978
Cu1 Cu 0.8086 0.8086 0.8967
Cu2 Cu 0.9962 0.9962 0.5077
Cu3 Cu 0.9906 0.9906 0.9760
Cu4 Cu 0.4026 0.4026 0.7091
```

Computed properties:
Crystal system = monoclinic
V = 156.0 Å³ per cell
DFT formation energy = 85 meV per atom
Space-group type = Cm, No. 8
Relative energy among the computed polymorphs = 53 meV/atom



(5)
Here is a geometry-optimized BeRe2 structure from OQMD. Energies are from PBE-GGA.

Geometry as CIF:
```
data_BeRe2
_chemical_formula_sum 'Be2 Re4'
_cell_length_a 5.0827
_cell_length_b 5.0827
_cell_length_c 5.0827
_cell_angle_alpha 60.00
_cell_angle_beta 60.00
_cell_angle_gamma 60.00
_symmetry_space_group_name_H-M 'P 1'
_symmetry_Int_Tables_number 1
loop_
_symmetry_equiv_pos_as_xyz
'x,y,z'
loop_
_atom_site_label
_atom_site_type_symbol
_atom_site_fract_x
_atom_site_fract_y
_atom_site_fract_z
Re1 Re 0.6250 0.1250 0.6250
Re2 Re 0.1250 0.6250 0.6250
Re3 Re 0.6250 0.6250 0.1250
Re4 Re 0.6250 0.6250 0.6250
Be1 Be 0.2500 0.2500 0.2500
Be2 Be 0.0000 0.0000 0.0000
```

Computed properties:
Crystal system = cubic
V = 92.8 Å³ per cell
Space-group type = Fd-3m, No. 227
Relative energy among the computed polymorphs = 0 meV/atom



(6)
Here is a geometry-optimized Bi10PdSe10 structure from OQMD. Energies are from PBE-GGA.

Geometry as CIF:
```
data_Bi10PdSe10
_chemical_formula_sum 'Bi20 Pd2 Se20'
_cell_length_a 8.4219
_cell_length_b 11.9387
_cell_length_c 12.9869
_cell_angle_alpha 90.00
_cell_angle_beta 90.00
_cell_angle_gamma 90.00
_symmetry_space_group_name_H-M 'P 1'
_symmetry_Int_Tables_number 1
loop_
_symmetry_equiv_pos_as_xyz
'x,y,z'
loop_
_atom_site_label
_atom_site_type_symbol
_atom_site_fract_x
_atom_site_fract_y
_atom_site_fract_z
Se1 Se 0.0000 0.6136 0.6052
Se2 Se 0.0000 0.0008 0.3406
Se3 Se 0.7374 0.6714 0.3258
Se4 Se 0.7374 0.8286 0.8258
Se5 Se 0.2626 0.1714 0.1742
Se6 Se 0.0000 0.5008 0.1594
Se7 Se 0.7374 0.3286 0.6742
Se8 Se 0.0000 0.4992 0.8406
Se9 Se 0.0000 0.8864 0.1052
Se10 Se 0.5000 0.6567 0.6067
Se11 Se 0.5000 0.3433 0.3933
Se12 Se 0.0000 0.9992 0.6594
Se13 Se 0.0000 0.3864 0.3948
Se14 Se 0.7374 0.1714 0.1742
Se15 Se 0.5000 0.8433 0.1067
Se16 Se 0.2626 0.6714 0.3258
Se17 Se 0.5000 0.1567 0.8933
Se18 Se 0.0000 0.1136 0.8948
Se19 Se 0.2626 0.3286 0.6742
Se20 Se 0.2626 0.8286 0.8258
Bi1 Bi 0.0000 0.2851 0.0582
Bi2 Bi 0.2694 0.6303 0.0974
Bi3 Bi 0.0000 0.7149 0.9418
Bi4 Bi 0.2494 0.0000 0.0000
Bi5 Bi 0.2694 0.8697 0.5974
Bi6 Bi 0.0000 0.7851 0.4418
Bi7 Bi 0.5000 0.3356 0.1689
Bi8 Bi 0.7506 0.5000 0.5000
Bi9 Bi 0.5000 0.8356 0.3311
Bi10 Bi 0.7306 0.3697 0.9026
Bi11 Bi 0.2494 0.5000 0.5000
Bi12 Bi 0.0000 0.2149 0.5582
Bi13 Bi 0.7506 0.0000 0.0000
Bi14 Bi 0.7306 0.8697 0.5974
Bi15 Bi 0.2694 0.3697 0.9026
Bi16 Bi 0.5000 0.1644 0.6689
Bi17 Bi 0.2694 0.1303 0.4026
Bi18 Bi 0.5000 0.6644 0.8311
Bi19 Bi 0.7306 0.6303 0.0974
Bi20 Bi 0.7306 0.1303 0.4026
Pd1 Pd 0.5000 0.5000 0.0000
Pd2 Pd 0.5000 0.0000 0.5000
```

Computed properties:
Energy = -168.648 eV per cell
Crystal system = orthorhombic
V = 1305.8 Å³ per cell
Space-group type = Pbam, No. 55